K2Zr2NiH12O6F12: relaxed, PBE with a Hubbard U.

Calculated values
- Calculated total energy: -5.416 eV per atom
- DOS at the Fermi energy: 0.00 states/eV per cell
- Total magnetic moment: 2.00 μB per formula unit

Unit cell a=6.6811 b=10.0789 c=12.0623 alpha=90.00 beta=96.92 gamma=90.00
Closest atoms and distances in Å follow each position.
Fractional positions:
1 K 0.0327 0.7803 0.4163  5 F 2.71-2.84, 1 O 2.91
2 K 0.5327 0.7197 0.9163  5 F 2.71-2.84, 1 O 2.91
3 K 0.9673 0.2197 0.5837  5 F 2.71-2.84, 1 O 2.91
4 K 0.4673 0.2803 0.0837  5 F 2.71-2.84, 1 O 2.91
5 Zr 0.9608 0.5132 0.1474  7 F 2.01-2.20
6 Zr 0.4608 0.9868 0.6474  7 F 2.01-2.20
7 Zr 0.0392 0.4868 0.8526  7 F 2.01-2.20
8 Zr 0.5392 0.0132 0.3526  7 F 2.01-2.20
9 Ni 0.5000 0.5000 0.5000  6 O 2.09-2.11
10 Ni 0.0000 0.0000 0.0000  6 O 2.09-2.11
11 H 0.3577 0.6811 0.6229  1 O 0.99
12 H 0.8577 0.8189 0.1229  1 O 0.99
13 H 0.6423 0.3189 0.3771  1 O 0.99
14 H 0.1423 0.1811 0.8771  1 O 0.99
15 H 0.2026 0.5614 0.6161  1 O 0.99
16 H 0.7026 0.9386 0.1161  1 O 0.99
17 H 0.7974 0.4386 0.3839  1 O 0.99
18 H 0.2974 0.0614 0.8839  1 O 0.99
19 H 0.6871 0.6939 0.6108  1 O 0.99
20 H 0.1871 0.8061 0.1108  1 O 0.99
21 H 0.3129 0.3061 0.3892  1 O 0.99
22 H 0.8129 0.1939 0.8892  1 O 0.99
23 H 0.8428 0.5748 0.6091  1 O 0.99
24 H 0.3428 0.9252 0.1091  1 O 0.99
25 H 0.1572 0.4252 0.3909  1 O 0.99
26 H 0.6572 0.0748 0.8909  1 O 0.99
27 H 0.4711 0.3101 0.6606  1 O 0.99
28 H 0.9711 0.1899 0.1606  1 O 0.99
29 H 0.5289 0.6899 0.3394  1 O 0.99
30 H 0.0289 0.8101 0.8394  1 O 0.99
31 H 0.6021 0.4324 0.7144  1 O 0.99
32 H 0.1021 0.0676 0.2144  1 O 0.99
33 H 0.3979 0.5676 0.2856  1 O 0.99
34 H 0.8979 0.9324 0.7856  1 O 0.99
35 O 0.2889 0.6144 0.5711  2 H 0.99
36 O 0.7889 0.8856 0.0711  2 H 0.99
37 O 0.7111 0.3856 0.4289  2 H 0.99
38 O 0.2111 0.1144 0.9289  2 H 0.99
39 O 0.7394 0.6268 0.5618  2 H 0.99
40 O 0.2394 0.8732 0.0618  2 H 0.99
41 O 0.2606 0.3732 0.4382  2 H 0.99
42 O 0.7606 0.1268 0.9382  2 H 0.99
43 O 0.5590 0.3849 0.6440  2 H 0.99
44 O 0.0590 0.1151 0.1440  2 H 0.99
45 O 0.4410 0.6151 0.3560  2 H 0.99
46 O 0.9410 0.8849 0.8560  2 H 0.99
47 F 0.9751 0.3836 0.0048  2 Zr 2.17-2.20, 1 F 2.37
48 F 0.4751 0.1164 0.5048  2 Zr 2.17-2.20, 1 F 2.37
49 F 0.0249 0.6164 0.9952  2 Zr 2.17-2.20, 1 F 2.37
50 F 0.5249 0.8836 0.4952  2 Zr 2.17-2.20, 1 F 2.37
51 F 0.0259 0.7130 0.1897  2 H 1.68-1.79
52 F 0.5259 0.7870 0.6897  2 H 1.68-1.79
53 F 0.9741 0.2870 0.8103  2 H 1.68-1.79
54 F 0.4741 0.2130 0.3103  2 H 1.68-1.79
55 F 0.6736 0.5658 0.0992  1 Zr 2.01
56 F 0.1736 0.9342 0.5992  1 Zr 2.01
57 F 0.3264 0.4342 0.9008  1 Zr 2.01
58 F 0.8264 0.0658 0.4008  1 Zr 2.01
59 F 0.9668 0.5227 0.3234  2 H 1.65-1.73
60 F 0.4668 0.9773 0.8234  2 H 1.65-1.73
61 F 0.0332 0.4773 0.6766  2 H 1.65-1.73
62 F 0.5332 0.0227 0.1766  2 H 1.65-1.73
63 F 0.8508 0.3311 0.1910  1 H 1.70
64 F 0.3508 0.1689 0.6910  1 H 1.70
65 F 0.1492 0.6689 0.8090  1 H 1.70
66 F 0.6492 0.8311 0.3090  1 H 1.70
67 F 0.2622 0.4710 0.1811  1 H 1.76
68 F 0.7622 0.0290 0.6811  1 H 1.76
69 F 0.7378 0.5290 0.8189  1 H 1.76
70 F 0.2378 0.9710 0.3189  1 H 1.76